1.
Below is crystalline SiSbMo2 at its relaxed geometry, with properties calculated at the PBEsol level.

The total moment comes out at 0.00 μB/f.u. Its distance to the lowest polymorph of the same formula is 0.0 kJ/mol of atoms. Its total energy is -0.620 Ry per atom. The calculation puts the uncorrected formation energy at 0.023 eV per atom.

a b c (Å): 9.172 3.184 4.612
angles (deg): 90.00 107.31 90.00
Space group Cm (No. 8)
Unique sites:
Si (0.000, 0.000, 0.000) (multiplicity 2)
Sb (0.238, 0.000, 0.640) (multiplicity 2)
Mo (0.233, 0.500, 0.122) (multiplicity 2)
Mo (0.489, 0.000, 0.468) (multiplicity 2)


2.
Below is crystalline SiSbMo at its relaxed geometry, with properties calculated at the PBEsol level.

The total moment comes out at 0.00 μB/f.u. Its distance to the lowest polymorph of the same formula is 66.0 kJ/mol of atoms. Its total energy is -0.492 Ry per atom. The calculation puts the uncorrected formation energy at 0.659 eV per atom.

a b c (Å): 6.093 6.093 6.093
angles (deg): 90.00 90.00 90.00
Space group F-43m (No. 216)
Unique sites:
Si (0.000, 0.000, 0.000) (multiplicity 4)
Sb (0.250, 0.250, 0.250) (multiplicity 4)
Mo (0.250, 0.250, 0.750) (multiplicity 4)


3.
Below is crystalline SnSbMo3 at its relaxed geometry, with properties calculated at the PBEsol level.

The total moment comes out at 1.83 μB/f.u. Its total energy is -0.492 Ry per atom. The calculation puts the uncorrected formation energy at 2.132 eV per atom.

a b c (Å): 4.863 4.863 4.863
angles (deg): 90.00 90.00 90.00
Space group Pm-3m (No. 221)
Unique sites:
Sn (0.000, 0.000, 0.000) (multiplicity 1)
Sb (0.500, 0.500, 0.500) (multiplicity 1)
Mo (0.000, 0.000, 0.500) (multiplicity 3)


4.
Below is crystalline SnSbMo2 at its relaxed geometry, with properties calculated at the PBEsol level.

The total moment comes out at 0.00 μB/f.u. Its total energy is -0.573 Ry per atom. The calculation puts the uncorrected formation energy at 0.295 eV per atom.

a b c (Å): 6.563 6.563 6.563
angles (deg): 90.00 90.00 90.00
Space group Fm-3m (No. 225)
Unique sites:
Sn (0.000, 0.000, 0.000) (multiplicity 4)
Sb (0.000, 0.000, 0.500) (multiplicity 4)
Mo (0.250, 0.250, 0.250) (multiplicity 8)


5.
Below is crystalline SnSb2TeMo at its relaxed geometry, with properties calculated at the PBEsol level.

The total moment comes out at 3.38 μB/f.u. Its total energy is -0.309 Ry per atom. The calculation puts the uncorrected formation energy at 1.523 eV per atom.

a b c (Å): 5.465 5.465 5.542
angles (deg): 90.00 90.00 90.00
Space group P4/mmm (No. 123)
Unique sites:
Sn (0.000, 0.000, 0.000) (multiplicity 1)
Sb (0.000, 0.500, 0.000) (multiplicity 2)
Te (0.000, 0.000, 0.500) (multiplicity 1)
Mo (0.500, 0.500, 0.500) (multiplicity 1)


6.
Below is crystalline SrSb2Mo at its relaxed geometry, with properties calculated at the PBEsol level.

The total moment comes out at 1.86 μB/f.u. Its distance to the lowest polymorph of the same formula is 63.4 kJ/mol of atoms. Its total energy is -0.380 Ry per atom. The calculation puts the uncorrected formation energy at 0.515 eV per atom.

a b c (Å): 7.251 7.251 7.251
angles (deg): 90.00 90.00 90.00
Space group F-43m (No. 216)
Unique sites:
Sr (0.000, 0.000, 0.000) (multiplicity 4)
Sb (0.000, 0.000, 0.500) (multiplicity 4)
Sb (0.250, 0.250, 0.250) (multiplicity 4)
Mo (0.250, 0.250, 0.750) (multiplicity 4)